No. 1
Na2TmZrO4 | Alexandria via LeMat-Bulk | PBE | optimized geometry; DOS(E_F) = 0.330 states/eV/atom; E_tot = -0.5175 Ry/atom; total magnetic moment = 0.28 μB per cell
1.0
-2.787 -1.371 0.965
2.607 -1.982 4.714
-2.221 5.365 1.206
O Na Tm Zr
4 2 1 1
Direct
0.500 0.757 0.779
0.000 0.747 0.210
0.000 0.253 0.790
0.500 0.243 0.221
0.000 0.500 0.500
0.500 0.000 0.500
0.500 0.500 0.000
0.000 0.000 0.000

***

No. 2
Na3U4O12 | Alexandria via LeMat-Bulk | PBE | optimized geometry; DOS(E_F) = 0.736 states/eV/atom; E_tot = -0.6357 Ry/atom; total magnetic moment = 3.00 μB per cell
1.0
-2.064 0.148 -6.911
-5.517 -2.168 4.111
2.065 6.606 2.035
O Na U
12 3 4
Direct
0.705 0.915 0.210
0.295 0.085 0.790
0.085 0.790 0.295
0.705 0.496 0.790
0.790 0.295 0.085
0.790 0.705 0.496
0.210 0.705 0.915
0.504 0.210 0.295
0.295 0.504 0.210
0.915 0.210 0.705
0.496 0.790 0.705
0.210 0.295 0.504
0.000 0.500 0.500
0.500 0.000 0.500
0.500 0.500 0.000
0.000 0.500 0.000
0.500 0.500 0.500
0.500 0.000 0.000
0.000 0.000 0.500

***

No. 3
Na5UO5 | Alexandria via LeMat-Bulk | PBE | optimized geometry; DOS(E_F) = 0.272 states/eV/atom; E_tot = -0.4413 Ry/atom; total magnetic moment = 1.00 μB per cell
1.0
4.616 0.000 0.000
-2.308 5.227 -1.916
0.000 0.165 6.645
Na O U
5 5 1
Direct
0.319 0.638 0.143
0.299 0.597 0.668
0.681 0.362 0.857
0.701 0.403 0.332
0.000 0.000 0.500
0.149 0.298 0.302
0.863 0.726 0.162
0.500 0.000 0.000
0.137 0.274 0.838
0.851 0.702 0.698
0.000 0.000 0.000